VASP calculation (GGA+U) on a geometry-optimized VOsOF2 structure.

Cell lengths 4.470, 4.470, 3.717 Å; angles 90.00, 90.00, 90.00 degrees
Space group P4/mmm (No. 123)
Unique sites:
1 V 0.000 0.000 0.000 [1 per cell]
2 Os 0.500 0.500 0.500 [1 per cell]
3 O 0.500 0.500 0.000 [1 per cell]
4 F 0.000 0.500 0.500 [2 per cell]

Output
E above lowest polymorph = 0.135 eV/atom



VASP calculation (GGA+U) on a geometry-optimized VOsOF2 structure.

Cell lengths 4.155, 4.155, 3.818 Å; angles 90.00, 90.00, 90.00 degrees
Space group P4/mmm (No. 123)
Unique sites:
1 V 0.000 0.000 0.000 [1 per cell]
2 Os 0.500 0.500 0.500 [1 per cell]
3 O 0.000 0.000 0.500 [1 per cell]
4 F 0.000 0.500 0.000 [2 per cell]

Output
E above lowest polymorph = 0.000 eV/atom



VASP calculation (GGA+U) on a geometry-optimized OsWO2F structure.

Cell lengths 4.084, 4.084, 4.185 Å; angles 90.00, 90.00, 90.00 degrees
Space group P4/mmm (No. 123)
Unique sites:
1 Os 0.000 0.000 0.000 [1 per cell]
2 W 0.500 0.500 0.500 [1 per cell]
3 O 0.000 0.500 0.500 [2 per cell]
4 F 0.500 0.500 0.000 [1 per cell]

Output
Total energy = -30.9 eV for the cell shown



VASP calculation (GGA+U) on a geometry-optimized OsWO2F structure.

Cell lengths 3.674, 3.674, 7.084 Å; angles 90.00, 90.00, 90.00 degrees
Space group P4/mmm (No. 123)
Unique sites:
1 Os 0.000 0.000 0.000 [1 per cell]
2 W 0.500 0.500 0.500 [1 per cell]
3 O 0.000 0.500 0.000 [2 per cell]
4 F 0.000 0.000 0.500 [1 per cell]

Output
Total energy = -32.1 eV for the cell shown



Ordered volume results: 14.855, 13.186, 13.958, 19.123; unit A^3/atom.